{
  "formula": "MnRe2Os",
  "functional": "PBE",
  "state": "optimized geometry",
  "e_above_lowest_polymorph_ev_per_atom": 0.066,
  "magmom_total_mub_per_atom": 0.343,
  "dft_energy_ha_per_atom": -0.4120,
  "lattice_angstrom": [[1.3627, 0.7868, 8.7798], [-1.3627, 0.7868, 8.7798], [0.0000, -1.5736, 8.7798]],
  "species": ["Mn", "Re", "Re", "Os"],
  "frac_coords": [[0.0000, 0.0000, 0.0000], [0.2522, 0.2522, 0.2522], [0.4994, 0.4994, 0.4994], [0.7451, 0.7451, 0.7451]]
}